No. 1
Sc2RePt: PBEsol geometry, meta-GGA SCAN.

Cell lengths 3.0533, 3.0533, 8.6782 Å; angles 79.87, 79.87, 60.00 degrees
With the nearest neighbours (Å) after each atom.
Sites, in units of the cell vectors:
Pt1 0.5000 0.5000 0.5000  6 Sc 2.80, 6 Pt 3.05
Re1 0.0000 0.0000 0.0000  6 Sc 2.72
Sc1 0.2521 0.2521 0.2438  3 Re 2.72, 3 Pt 2.80
Sc2 0.7479 0.7479 0.7562  3 Re 2.72, 3 Pt 2.80

E_form = -0.322 eV/atom

---

No. 2
Re2PtSe: PBEsol geometry, meta-GGA SCAN.

Cell lengths 2.8181, 4.1954, 5.2651 Å; angles 90.00, 105.59, 90.00 degrees
With the nearest neighbours (Å) after each atom.
Sites, in units of the cell vectors:
Pt1 0.3067 0.5000 0.7381  7 Re 2.59-2.88, 4 Se 2.79, 2 Pt 2.82
Re1 0.9435 0.0000 0.0109  3 Se 2.58-2.87, 6 Re 2.80-2.82, 4 Pt 2.88
Re2 0.5610 0.5000 0.2480  2 Se 2.46, 1 Pt 2.59
Se1 0.6888 0.0000 0.5029  3 Re 2.46-2.58

Uncorrected formation energy = 0.4372 eV/atom

---

No. 3
Re2PtSe: PBEsol geometry, meta-GGA SCAN.

Cell lengths 2.8109, 3.8883, 5.7198 Å; angles 90.00, 90.00, 90.00 degrees
With the nearest neighbours (Å) after each atom.
Sites, in units of the cell vectors:
Pt1 0.5000 0.5000 0.7723  5 Re 2.64-2.82, 2 Pt 2.81
Re1 0.0000 0.0000 0.0302  1 Se 2.48, 4 Re 2.67
Re2 0.5000 0.5000 0.2340  1 Pt 2.64, 6 Re 2.67-2.81, 4 Se 2.73
Se1 0.0000 0.0000 0.4635  5 Re 2.48-2.73

Uncorrected formation energy = 0.4287 eV/atom

---

No. 4
Re3SiPt: PBEsol geometry, meta-GGA SCAN.

Cell lengths 4.3204, 4.3204, 4.3204 Å; angles 90.00, 90.00, 90.00 degrees
With the nearest neighbours (Å) after each atom.
Sites, in units of the cell vectors:
Re1 0.0000 0.5000 0.0000  2 Si 2.16
Re2 0.0000 0.0000 0.5000  2 Si 2.16
Re3 0.5000 0.0000 0.0000  2 Si 2.16
Si1 0.0000 0.0000 0.0000  6 Re 2.16
Pt1 0.5000 0.5000 0.5000  12 Re 3.05

Uncorrected formation energy = 1.3337 eV/atom

---

No. 5
Re2SnTePt: PBEsol geometry, meta-GGA SCAN.

Cell lengths 4.7875, 4.9155, 4.9155 Å; angles 90.00, 90.00, 90.00 degrees
With the nearest neighbours (Å) after each atom.
Sites, in units of the cell vectors:
Re1 0.0000 0.0000 0.5000  2 Sn 2.46
Re2 0.0000 0.5000 0.0000  2 Sn 2.46
Te1 0.5000 0.5000 0.5000  8 Re 3.43, 4 Pt 3.48
Sn1 0.0000 0.0000 0.0000  2 Pt 2.39, 4 Re 2.46
Pt1 0.5000 0.0000 0.0000  2 Sn 2.39

Uncorrected formation energy = 2.2870 eV/atom

---

No. 6
TaRePt2: PBEsol geometry, meta-GGA SCAN.

Cell lengths 2.7215, 4.9170, 4.9170 Å; angles 112.60, 90.00, 90.00 degrees
With the nearest neighbours (Å) after each atom.
Sites, in units of the cell vectors:
Pt1 0.0000 0.0000 0.5000  4 Pt 2.72-2.73, 4 Ta 2.81, 4 Re 2.81
Pt2 0.0000 0.5000 0.0000  4 Pt 2.72-2.73, 4 Re 2.81, 4 Ta 2.81
Re1 0.5000 0.5000 0.5000  2 Re 2.72, 2 Ta 2.73, 8 Pt 2.81
Ta1 0.5000 0.0000 0.0000  2 Ta 2.72, 2 Re 2.73, 8 Pt 2.81

Energy relative to the lowest polymorph listed for this composition = 0 meV/atom
E_form = -0.475 eV/atom

---

No. 7
TaRePt: PBEsol geometry, meta-GGA SCAN.

Cell lengths 2.7374, 2.7374, 6.5051 Å; angles 102.15, 102.15, 90.00 degrees
With the nearest neighbours (Å) after each atom.
Sites, in units of the cell vectors:
Pt1 0.0028 0.0028 0.0056  4 Pt 2.74, 4 Re 2.77, 4 Ta 2.85
Re1 0.6623 0.6623 0.3246  4 Re 2.74, 4 Pt 2.77, 4 Ta 2.89
Ta1 0.3349 0.3349 0.6698  4 Ta 2.74, 4 Pt 2.85, 4 Re 2.89

E_form = -0.278 eV/atom

---

No. 8
TaRePt2: PBEsol geometry, meta-GGA SCAN.

Cell lengths 3.3150, 3.3150, 5.6579 Å; angles 90.00, 90.00, 90.00 degrees
With the nearest neighbours (Å) after each atom.
Sites, in units of the cell vectors:
Pt1 0.0000 0.0000 0.0010  4 Ta 2.72, 2 Re 2.74-2.92, 4 Pt 2.75
Pt2 0.5000 0.5000 0.2566  4 Re 2.68, 4 Pt 2.75, 2 Ta 2.83
Re1 0.0000 0.0000 0.4857  6 Pt 2.68-2.92, 4 Ta 2.80
Ta1 0.5000 0.5000 0.7566  6 Pt 2.72-2.83, 4 Re 2.80

Energy relative to the lowest polymorph listed for this composition = 85 meV/atom
E_form = -0.390 eV/atom

---

No. 9
Re3TcPt: PBEsol geometry, meta-GGA SCAN.

Cell lengths 4.5434, 4.5434, 4.5434 Å; angles 90.00, 90.00, 90.00 degrees
With the nearest neighbours (Å) after each atom.
Sites, in units of the cell vectors:
Re1 0.0000 0.5000 0.0000  2 Tc 2.27
Re2 0.0000 0.0000 0.5000  2 Tc 2.27
Re3 0.5000 0.0000 0.0000  2 Tc 2.27
Tc1 0.0000 0.0000 0.0000  6 Re 2.27
Pt1 0.5000 0.5000 0.5000  12 Re 3.21

E_form = 2.271 eV/atom

---

No. 10
Re2TePt: PBEsol geometry, meta-GGA SCAN.

Cell lengths 2.9834, 4.7459, 4.8874 Å; angles 96.86, 107.77, 90.00 degrees
With the nearest neighbours (Å) after each atom.
Sites, in units of the cell vectors:
Pt1 0.7354 0.2315 0.4709  1 Te 2.64, 5 Re 2.66-2.81
Re1 0.9948 0.9885 0.9897  5 Re 2.69-2.98, 4 Te 2.76-2.85, 3 Pt 2.80-2.81
Re2 0.2653 0.7786 0.5305  4 Pt 2.66-2.98, 3 Re 2.69-2.82, 1 Te 2.72
Te1 0.5044 0.5013 0.0089  1 Pt 2.64, 5 Re 2.72-2.85

Uncorrected formation energy = 0.5413 eV/atom

---

No. 11
ReTe2Pt: PBEsol geometry, meta-GGA SCAN.

Cell lengths 3.1170, 3.1170, 8.5968 Å; angles 90.00, 90.00, 90.00 degrees
With the nearest neighbours (Å) after each atom.
Sites, in units of the cell vectors:
Pt1 0.0000 0.0000 0.5329  4 Re 2.80, 4 Te 2.91, 4 Pt 3.12
Re1 0.5000 0.5000 0.7331  4 Te 2.73, 4 Pt 2.80
Te1 0.0000 0.0000 0.9214  4 Re 2.73
Te2 0.5000 0.5000 0.3127  4 Pt 2.91, 4 Te 3.12

Energy relative to the lowest polymorph listed for this composition = 0 meV/atom
Uncorrected formation energy = 0.3359 eV/atom

---

No. 12
ReTePt2: PBEsol geometry, meta-GGA SCAN.

Cell lengths 3.3369, 3.3370, 5.9597 Å; angles 90.00, 90.00, 90.00 degrees
With the nearest neighbours (Å) after each atom.
Sites, in units of the cell vectors:
Pt1 0.0000 0.0000 0.0205  1 Re 2.72, 4 Pt 2.74, 4 Te 2.86
Pt2 0.5000 0.5000 0.2536  4 Re 2.71, 4 Pt 2.74, 2 Te 2.95-3.01
Re1 0.0000 0.0000 0.4769  5 Pt 2.71-2.72, 4 Te 2.86
Te1 0.5000 0.5000 0.7490  6 Pt 2.86-3.01, 4 Re 2.86

Uncorrected formation energy = 0.3761 eV/atom

---

No. 13
Re2TePt: PBEsol geometry, meta-GGA SCAN.

Cell lengths 2.9214, 4.6817, 4.8288 Å; angles 90.00, 90.00, 90.00 degrees
With the nearest neighbours (Å) after each atom.
Sites, in units of the cell vectors:
Pt1 0.0000 0.5000 0.5000  4 Te 2.76, 4 Re 2.82, 2 Pt 2.92
Re1 0.0000 0.0000 0.0000  6 Re 2.76-2.92, 4 Te 2.82
Re2 0.5000 0.5000 0.0000  6 Re 2.76-2.92, 4 Pt 2.82
Te1 0.5000 0.0000 0.5000  4 Pt 2.76, 4 Re 2.82, 2 Te 2.92

Uncorrected formation energy = 0.8046 eV/atom

---

No. 14
Re2TePt: PBEsol geometry, meta-GGA SCAN.

Cell lengths 2.9309, 2.9309, 7.8339 Å; angles 90.00, 90.00, 90.00 degrees
With the nearest neighbours (Å) after each atom.
Sites, in units of the cell vectors:
Pt1 0.5000 0.5000 0.7789  4 Re 2.78, 4 Pt 2.93
Re1 0.0000 0.0000 0.0164  8 Re 2.65-2.93, 4 Pt 2.78
Re2 0.5000 0.5000 0.2273  8 Re 2.65-2.93, 4 Te 2.85
Te1 0.0000 0.0000 0.4774  4 Re 2.85, 4 Te 2.93, 4 Pt 3.14

Uncorrected formation energy = 0.3885 eV/atom

---

No. 15
ReTe2Pt: PBEsol geometry, meta-GGA SCAN.

Cell lengths 3.3133, 4.5782, 5.5479 Å; angles 101.01, 90.00, 111.21 degrees
With the nearest neighbours (Å) after each atom.
Sites, in units of the cell vectors:
Pt1 0.0000 0.0000 0.5000  6 Te 2.70-2.94
Re1 0.5000 0.0000 0.0000  6 Te 2.72-2.85
Te1 0.7659 0.5318 0.7613  3 Pt 2.70-2.94, 3 Re 2.72-2.85
Te2 0.2341 0.4682 0.2387  3 Pt 2.70-2.94, 3 Re 2.72-2.85

Energy relative to the lowest polymorph listed for this composition = 217 meV/atom
Uncorrected formation energy = 0.5531 eV/atom

---

No. 16
Re2TePt: PBEsol geometry, meta-GGA SCAN.

Cell lengths 4.0420, 4.0420, 4.8525 Å; angles 114.61, 114.61, 90.00 degrees
With the nearest neighbours (Å) after each atom.
Sites, in units of the cell vectors:
Pt1 0.2500 0.7500 0.5000  8 Re 2.82-2.86, 4 Te 2.82
Re1 0.0000 0.0000 0.0000  4 Pt 2.82, 4 Re 2.82, 4 Te 2.86
Re2 0.7500 0.2500 0.5000  4 Re 2.82, 4 Te 2.82, 4 Pt 2.86
Te1 0.5000 0.5000 0.0000  4 Pt 2.82, 8 Re 2.82-2.86

Uncorrected formation energy = 0.6518 eV/atom

---

The records above yield magnetic moment values of 0.00 0.00 0.00 0.00 3.77 0.00 0.00 0.00 0.00 0.00 0.00 0.00 0.00 0.00 0.00 0.00 μB/cell, respectively.
The records above yield N(E_F) values of 0.7355 0.7080 0.7288 0.7388 0.7116 0.5832 0.9743 0.5519 0.8687 0.6722 0.6541 0.7396 0.8318 0.7822 0.7335 0.8749 states/eV/atom, respectively.